Material: HoErSe2
Method: DFT, GGA-PBE
State: optimized geometry

Geometry as POSCAR:
```
HoErSe2
1.0
2.028 1.171 6.571
-2.028 1.171 6.571
0.000 -2.342 6.571
Ho Er Se
1 1 2
direct
0.000 0.000 0.000
0.500 0.500 0.500
0.249 0.249 0.249
0.751 0.751 0.751
```

Energy above the lowest structure with this stoichiometry, eV/atom: 0.004
Formation energy without anion corrections, eV per atom: -1.707
VASP energy, Ry per atom: -0.42148
Space group: R-3m, No. 166
Calculated volume, A^3/atom: 23.40